Record 1
Below is a geometry-optimized ZrScPO structure, with properties calculated at the PBE level.

abc: 4.0680 4.0680 8.0714
angles: 90.00 90.00 90.00
Last column: nearest neighbours and their distance in Å.
Sites, in units of the cell vectors:
Zr1 0.2500 0.7500 0.0000  4 P 2.60, 4 Zr 2.88
Zr2 0.7500 0.2500 0.0000  4 P 2.60, 4 Zr 2.88
Sc1 0.2500 0.2500 0.4026  4 O 2.18
Sc2 0.7500 0.7500 0.5974  4 O 2.18
P1 0.2500 0.2500 0.7994  4 Zr 2.60
P2 0.7500 0.7500 0.2006  4 Zr 2.60
O1 0.2500 0.7500 0.5000  4 Sc 2.18
O2 0.7500 0.2500 0.5000  4 Sc 2.18

Record 2
Below is a geometry-optimized ZrScPO structure, with properties calculated at the PBE level.

abc: 4.0756 4.0756 8.0323
angles: 90.00 90.00 90.00
Last column: nearest neighbours and their distance in Å.
Sites, in units of the cell vectors:
Zr1 0.2500 0.7500 0.0000  4 P 2.60, 4 Zr 2.88
Zr2 0.7500 0.2500 0.0000  4 P 2.60, 4 Zr 2.88
Sc1 0.2500 0.2500 0.4022  4 O 2.18
Sc2 0.7500 0.7500 0.5978  4 O 2.18
P1 0.2500 0.2500 0.7990  4 Zr 2.60
P2 0.7500 0.7500 0.2010  4 Zr 2.60
O1 0.2500 0.7500 0.5000  4 Sc 2.18
O2 0.7500 0.2500 0.5000  4 Sc 2.18

Record 3
Below is a geometry-optimized ZrScPO structure, with properties calculated at the PBE level.

abc: 3.9637 6.9382 5.2959
angles: 90.00 90.00 90.00
Last column: nearest neighbours and their distance in Å.
Sites, in units of the cell vectors:
Zr1 0.0000 0.2058 0.0000  2 O 2.17
Zr2 0.0000 0.7942 0.5000  2 O 2.17
Sc1 0.5000 0.3797 0.5570  2 O 2.10-2.14
Sc2 0.5000 0.6203 0.0570  2 O 2.10-2.14
P1 0.0000 0.1609 0.4969  2 Sc 2.52, 3 Zr 2.54-2.68
P2 0.0000 0.8391 0.9969  2 Sc 2.52, 3 Zr 2.54-2.68
O1 0.5000 0.3282 0.9558  2 Sc 2.10-2.14, 2 Zr 2.17
O2 0.5000 0.6718 0.4558  2 Sc 2.10-2.14, 2 Zr 2.17

no.,excess energy over the best structure of this formula in the dataset (meV/atom),spin magnetization (μB/f.u.)
1,40.6,0.01
2,40.6,0.01
3,50.4,0.01